[1]
Below is a geometry-optimized NiS structure, with properties calculated at the PBE level.

The volume is 15.5 A^3/atom. The density of states at the Fermi level is 1.30 states/eV per atom. For the uncorrected energy, the calculation gives -5.1502 eV/atom.

a b c (Å): 3.6574 3.6574 16.0752
angles (deg): 90.00 90.00 120.00
Last column: nearest neighbours and their distance in Å.
Fractional coordinates of all 12 atoms:
Ni  0.6667  0.3333  0.6122  4 S 2.22-2.23
Ni  0.3333  0.6667  0.1122  4 S 2.22-2.23
Ni  0.3333  0.6667  0.3878  4 S 2.22-2.23
Ni  0.6667  0.3333  0.8878  4 S 2.22-2.23
Ni  0.3333  0.6667  0.7500  3 S 2.11
Ni  0.6667  0.3333  0.2500  3 S 2.11
S  0.0000  0.0000  0.5667  1 S 2.14, 3 Ni 2.23
S  0.0000  0.0000  0.0667  1 S 2.14, 3 Ni 2.23
S  0.0000  0.0000  0.4333  1 S 2.14, 3 Ni 2.23
S  0.0000  0.0000  0.9333  1 S 2.14, 3 Ni 2.23
S  0.3333  0.6667  0.2500  5 Ni 2.11-2.22
S  0.6667  0.3333  0.7500  5 Ni 2.11-2.22



[2]
Below is a geometry-optimized BaCoRu3 structure, with properties calculated at the PBE level.

Its calculated formation energy is 1.106 eV per atom. The volume is 19.8 A^3/atom. The density of states at the Fermi level is 2.55 states/eV per atom. The value obtained for the polymorph energy (0 for the lowest one) is 0.0 meV/atom.

a b c (Å): 4.6222 4.6222 4.6222
angles (deg): 90.00 90.00 90.00
Last column: nearest neighbours and their distance in Å.
Fractional coordinates of all 5 atoms:
Ru  0.0000  0.5000  0.0000  2 Co 2.31
Ru  0.0000  0.0000  0.5000  2 Co 2.31
Ru  0.5000  0.0000  0.0000  2 Co 2.31
Co  0.0000  0.0000  0.0000  6 Ru 2.31
Ba  0.5000  0.5000  0.5000  12 Ru 3.27



[3]
Below is a geometry-optimized La2BrCl structure, with properties calculated at the PBE level.

The volume is 35.8 A^3/atom. The density of states at the Fermi level is 1.06 states/eV per atom. The value obtained for the polymorph energy (0 for the lowest one) is 101.6 meV/atom.

a b c (Å): 9.1905 9.1905 4.0432
angles (deg): 102.09 102.09 25.41
Last column: nearest neighbours and their distance in Å.
Fractional coordinates of all 4 atoms:
Cl  0.2434  0.2434  0.2380  5 La 2.90-3.12
Br  0.4772  0.4772  0.4839  4 La 3.25
La  0.0651  0.0651  0.0677  1 Cl 3.12, 4 Br 3.25
La  0.7144  0.7144  0.7104  4 Cl 2.90



Theoretical density across the listed records, respectively: 4.9, 8.4, 4.6 g cm⁻³.
Spin magnetization across the listed records, respectively: 0.35, 0.00, 0.00 μB/f.u..